LiY2Ga | PBE | relaxed

a b c (Å): 5.108 5.108 5.108
angles (deg): 60.00 60.00 60.00
Atoms (fractional coordinates):
Li: 0.000 0.000 0.000
Y: 0.250 0.250 0.250
Y: 0.750 0.750 0.750
Ga: 0.500 0.500 0.500

Values from the calculation:
- total energy (eV/atom) = -4.8140